1.
A plane-wave DFT calculation with meta-GGA SCAN was carried out for AgHg2Br at its PBEsol-relaxed geometry.

Calculated values
- E_form (uncorrected) (eV per atom) = -0.128
- offset from the most stable computed form (eV per atom) = 0.034
- raw total energy (eV/atom) = -46.918

The structure in CIF format:
```
data_AgHg2Br
_chemical_formula_sum 'Ag4 Hg8 Br4'
_space_group_name_H-M_alt 'I -4 2 d'
_space_group_IT_number 122
_space_group_name_Hall 'I -4 2bw'
_cell_length_a 8.652
_cell_length_b 8.652
_cell_length_c 5.452
_cell_angle_alpha 90.00
_cell_angle_beta 90.00
_cell_angle_gamma 90.00
loop_
_atom_site_label
_atom_site_fract_x
_atom_site_fract_y
_atom_site_fract_z
_atom_site_occupancy
Ag1 0.000 0.000 0.000 1
Hg1 0.201 0.250 0.125 1
Br1 0.000 0.000 0.500 1
```



2.
A plane-wave DFT calculation with meta-GGA SCAN was carried out for Tl2Hg2Te at its PBEsol-relaxed geometry.

Calculated values
- Fermi-level density of states (states/eV/cell) = 1.495
- E_form (uncorrected) (eV per atom) = -0.114
- raw total energy (eV/atom) = -63.774

The structure in CIF format:
```
data_Tl2Hg2Te
_chemical_formula_sum 'Tl4 Hg4 Te2'
_space_group_name_H-M_alt 'I 4/m m m'
_space_group_IT_number 139
_space_group_name_Hall '-I 4 2'
_cell_length_a 4.097
_cell_length_b 4.097
_cell_length_c 17.750
_cell_angle_alpha 90.00
_cell_angle_beta 90.00
_cell_angle_gamma 90.00
loop_
_atom_site_label
_atom_site_fract_x
_atom_site_fract_y
_atom_site_fract_z
_atom_site_occupancy
Tl1 0.000 0.000 0.094 1
Hg1 0.000 0.500 0.250 1
Te1 0.000 0.000 0.500 1
```